1.
# Zn4Pt, optimized geometry, DFT GGA-PBE
# ΔH_f (0 K): -88 meV/atom
data_Zn4Pt
_chemical_formula_sum 'Zn8 Pt2'
_space_group_name_H-M_alt 'C 1 2/m 1'
_space_group_IT_number 12
_space_group_name_Hall '-C 2y'
_cell_length_a 8.519
_cell_length_b 7.533
_cell_length_c 2.733
_cell_angle_alpha 90.00
_cell_angle_beta 90.16
_cell_angle_gamma 90.00
loop_
_atom_site_label
_atom_site_type_symbol
_atom_site_fract_x
_atom_site_fract_y
_atom_site_fract_z
Zn1 Zn 0.000 0.169 0.000
Zn2 Zn 0.244 0.000 0.499
Pt1 Pt 0.000 0.500 0.000

***

2.
# Ca3AgHg, optimized geometry, DFT GGA-PBE
# ΔH_f (0 K): -239 meV/atom
# energy above the lowest structure with this stoichiometry: 0.48 eV/f.u.
data_Ca3AgHg
_chemical_formula_sum 'Ca12 Ag4 Hg4'
_space_group_name_H-M_alt 'C 1 2 1'
_space_group_IT_number 5
_space_group_name_Hall 'C 2y'
_cell_length_a 15.816
_cell_length_b 10.465
_cell_length_c 3.973
_cell_angle_alpha 90.00
_cell_angle_beta 90.00
_cell_angle_gamma 90.00
loop_
_atom_site_label
_atom_site_type_symbol
_atom_site_fract_x
_atom_site_fract_y
_atom_site_fract_z
Ca1 Ca 0.114 0.000 0.001
Ca2 Ca 0.114 0.366 0.999
Ca3 Ca 0.161 0.683 0.500
Ag1 Ag 0.250 0.433 0.499
Hg1 Hg 0.000 0.183 0.500
Hg2 Hg 0.000 0.682 0.000

***

3.
# Nd2CuB2Rh5, optimized geometry, DFT GGA-PBE
# ΔH_f (0 K): -522 meV/atom
data_Nd2CuB2Rh5
_chemical_formula_sum 'Nd4 Cu2 B4 Rh10'
_space_group_name_H-M_alt 'P 4/m b m'
_space_group_IT_number 127
_space_group_name_Hall '-P 4 2ab'
_cell_length_a 9.630
_cell_length_b 9.630
_cell_length_c 3.246
_cell_angle_alpha 90.00
_cell_angle_beta 90.00
_cell_angle_gamma 90.00
loop_
_atom_site_label
_atom_site_type_symbol
_atom_site_fract_x
_atom_site_fract_y
_atom_site_fract_z
Nd1 Nd 0.177 0.323 0.000
Cu1 Cu 0.000 0.000 0.000
B1 B 0.123 0.623 0.000
Rh1 Rh 0.000 0.500 0.500
Rh2 Rh 0.069 0.778 0.500

***

4.
# Pd5Pt4Rh2, optimized geometry, DFT GGA-PBE
# ΔH_f (0 K): 80 meV/atom
data_Pd5Pt4Rh2
_chemical_formula_sum 'Pd5 Pt4 Rh2'
_space_group_name_H-M_alt 'P 1 2/m 1'
_space_group_IT_number 10
_space_group_name_Hall '-P 2y'
_cell_length_a 6.965
_cell_length_b 2.718
_cell_length_c 9.056
_cell_angle_alpha 90.00
_cell_angle_beta 94.73
_cell_angle_gamma 90.00
loop_
_atom_site_label
_atom_site_type_symbol
_atom_site_fract_x
_atom_site_fract_y
_atom_site_fract_z
Pd1 Pd 0.000 0.000 0.000
Pd2 Pd 0.060 0.000 0.298
Pd3 Pd 0.307 0.000 0.839
Pt1 Pt 0.218 0.500 0.557
Pt2 Pt 0.334 0.500 0.109
Rh1 Rh 0.438 0.000 0.363

***

5.
# PrCu6O8, optimized geometry, DFT GGA-PBE
# raw formation energy: -1.0010 eV/atom
# energy above the lowest structure with this stoichiometry: 0.00 eV/f.u.
data_PrCu6O8
_chemical_formula_sum 'Pr4 Cu24 O32'
_space_group_name_H-M_alt 'F m -3 m'
_space_group_IT_number 225
_space_group_name_Hall '-F 4 2 3'
_cell_length_a 9.436
_cell_length_b 9.436
_cell_length_c 9.436
_cell_angle_alpha 90.00
_cell_angle_beta 90.00
_cell_angle_gamma 90.00
loop_
_atom_site_label
_atom_site_type_symbol
_atom_site_fract_x
_atom_site_fract_y
_atom_site_fract_z
Pr1 Pr 0.000 0.000 0.000
Cu1 Cu 0.000 0.250 0.250
O1 O 0.147 0.147 0.147

***

6.
# CaHg2Au2, optimized geometry, DFT GGA-PBE
# ΔH_f (0 K): -229 meV/atom
# energy above the lowest structure with this stoichiometry: 0.76 eV/f.u.
data_CaHg2Au2
_chemical_formula_sum 'Ca2 Hg4 Au4'
_space_group_name_H-M_alt 'P 4/m b m'
_space_group_IT_number 127
_space_group_name_Hall '-P 4 2ab'
_cell_length_a 8.115
_cell_length_b 8.115
_cell_length_c 3.467
_cell_angle_alpha 90.00
_cell_angle_beta 90.00
_cell_angle_gamma 90.00
loop_
_atom_site_label
_atom_site_type_symbol
_atom_site_fract_x
_atom_site_fract_y
_atom_site_fract_z
Ca1 Ca 0.000 0.000 0.000
Hg1 Hg 0.126 0.374 0.000
Au1 Au 0.176 0.676 0.500

***

7.
# Ac6TcHg2, optimized geometry, DFT GGA-PBE
# ΔH_f (0 K): -152 meV/atom
data_Ac6TcHg2
_chemical_formula_sum 'Ac12 Tc2 Hg4'
_space_group_name_H-M_alt 'P 1 21/c 1'
_space_group_IT_number 14
_space_group_name_Hall '-P 2ybc'
_cell_length_a 7.577
_cell_length_b 8.120
_cell_length_c 13.410
_cell_angle_alpha 90.00
_cell_angle_beta 123.23
_cell_angle_gamma 90.00
loop_
_atom_site_label
_atom_site_type_symbol
_atom_site_fract_x
_atom_site_fract_y
_atom_site_fract_z
Ac1 Ac 0.132 0.019 0.248
Ac2 Ac 0.241 0.695 0.055
Ac3 Ac 0.363 0.193 0.054
Tc1 Tc 0.000 0.000 0.000
Hg1 Hg 0.299 0.095 0.756

***

8.
# KMn2Fe, optimized geometry, DFT GGA-PBE
# ΔH_f (0 K): 1237 meV/atom
# energy above the lowest structure with this stoichiometry: 2.15 eV/f.u.
data_KMn2Fe
_chemical_formula_sum 'K2 Mn4 Fe2'
_space_group_name_H-M_alt 'C 1 2/m 1'
_space_group_IT_number 12
_space_group_name_Hall '-C 2y'
_cell_length_a 5.894
_cell_length_b 9.740
_cell_length_c 2.707
_cell_angle_alpha 90.00
_cell_angle_beta 112.76
_cell_angle_gamma 90.00
loop_
_atom_site_label
_atom_site_type_symbol
_atom_site_fract_x
_atom_site_fract_y
_atom_site_fract_z
K1 K 0.000 0.000 0.000
Mn1 Mn 0.250 0.250 0.500
Fe1 Fe 0.000 0.500 0.000

***

9.
# Nd3Pt2Cl, optimized geometry, DFT GGA-PBE
# raw formation energy: -1.0108 eV/atom
data_Nd3Pt2Cl
_chemical_formula_sum 'Nd12 Pt8 Cl4'
_space_group_name_H-M_alt 'C 1 2/c 1'
_space_group_IT_number 15
_space_group_name_Hall '-C 2yc'
_cell_length_a 4.889
_cell_length_b 14.887
_cell_length_c 9.423
_cell_angle_alpha 90.00
_cell_angle_beta 97.62
_cell_angle_gamma 90.00
loop_
_atom_site_label
_atom_site_type_symbol
_atom_site_fract_x
_atom_site_fract_y
_atom_site_fract_z
Nd1 Nd 0.000 0.133 0.250
Nd2 Nd 0.194 0.365 0.073
Pt1 Pt 0.000 0.264 0.750
Pt2 Pt 0.250 0.250 0.500
Cl1 Cl 0.000 0.497 0.750

***

10.
# InCu2HgAs, optimized geometry, DFT GGA-PBE
# ΔH_f (0 K): 281 meV/atom
data_InCu2HgAs
_chemical_formula_sum 'In1 Cu2 Hg1 As1'
_space_group_name_H-M_alt 'P 4/m m m'
_space_group_IT_number 123
_space_group_name_Hall '-P 4 2'
_cell_length_a 4.528
_cell_length_b 4.528
_cell_length_c 5.840
_cell_angle_alpha 90.00
_cell_angle_beta 90.00
_cell_angle_gamma 90.00
loop_
_atom_site_label
_atom_site_type_symbol
_atom_site_fract_x
_atom_site_fract_y
_atom_site_fract_z
In1 In 0.000 0.000 0.000
Cu1 Cu 0.000 0.500 0.500
Hg1 Hg 0.500 0.500 0.000
As1 As 0.500 0.500 0.500

***

11.
# Ce3ZnCo8, optimized geometry, DFT GGA-PBE
# ΔH_f (0 K): -183 meV/atom
data_Ce3ZnCo8
_chemical_formula_sum 'Ce9 Zn3 Co24'
_space_group_name_H-M_alt 'R 3 m'
_space_group_IT_number 160
_space_group_name_Hall 'R 3 -2"'
_cell_length_a 4.9382
_cell_length_b 4.9382
_cell_length_c 24.4417
_cell_angle_alpha 90.00
_cell_angle_beta 90.00
_cell_angle_gamma 120.00
loop_
_atom_site_label
_atom_site_type_symbol
_atom_site_fract_x
_atom_site_fract_y
_atom_site_fract_z
Ce1 Ce 0.0000 0.0000 0.0000
Ce2 Ce 0.0000 0.0000 0.1277
Ce3 Ce 0.0000 0.0000 0.5081
Zn1 Zn 0.0000 0.0000 0.6298
Co1 Co 0.0000 0.0000 0.3149
Co2 Co 0.0000 0.0000 0.8162
Co3 Co 0.0014 0.5007 0.5685
Co4 Co 0.1694 0.3387 0.3964

***

12.
# Ba2BeAsP, optimized geometry, DFT GGA-PBE
# ΔH_f (0 K): -811 meV/atom
data_Ba2BeAsP
_chemical_formula_sum 'Ba4 Be2 As2 P2'
_space_group_name_H-M_alt 'P m m n'
_space_group_IT_number 59
_cell_length_a 4.077
_cell_length_b 8.751
_cell_length_c 7.964
_cell_angle_alpha 90.00
_cell_angle_beta 90.00
_cell_angle_gamma 90.00
loop_
_space_group_symop_operation_xyz
'x,y,z'
'-x,-y,-z'
'-x+1/2,-y+1/2,z'
'x+1/2,y+1/2,-z'
'x+1/2,-y,-z'
'-x+1/2,y,z'
'-x,y+1/2,-z'
'x,-y+1/2,z'
loop_
_atom_site_label
_atom_site_type_symbol
_atom_site_fract_x
_atom_site_fract_y
_atom_site_fract_z
Ba1 Ba 0.250 0.025 0.238
Be1 Be 0.250 0.250 0.604
As1 As 0.250 0.250 0.883
P1 P 0.250 0.750 0.532

***

13.
# Li2Tb2PrPb2, optimized geometry, DFT GGA-PBE
# ΔH_f (0 K): -340 meV/atom
data_Li2Tb2PrPb2
_chemical_formula_sum 'Li6 Tb6 Pr3 Pb6'
_space_group_name_H-M_alt 'R -3 m'
_space_group_IT_number 166
_space_group_name_Hall '-R 3 2"'
_cell_length_a 4.8856
_cell_length_b 4.8856
_cell_length_c 27.3294
_cell_angle_alpha 90.00
_cell_angle_beta 90.00
_cell_angle_gamma 120.00
loop_
_atom_site_label
_atom_site_type_symbol
_atom_site_fract_x
_atom_site_fract_y
_atom_site_fract_z
Li1 Li 0.0000 0.0000 0.0883
Tb1 Tb 0.0000 0.0000 0.3695
Pr1 Pr 0.0000 0.0000 0.5000
Pb1 Pb 0.0000 0.0000 0.2391

***

14.
# BaPSe2, optimized geometry, DFT GGA-PBE
# raw formation energy: -0.3898 eV/atom
# energy above the lowest structure with this stoichiometry: 2.08 eV/f.u.
data_BaPSe2
_chemical_formula_sum 'Ba1 P1 Se2'
_space_group_name_H-M_alt 'P 4/m m m'
_space_group_IT_number 123
_space_group_name_Hall '-P 4 2'
_cell_length_a 5.081
_cell_length_b 5.081
_cell_length_c 3.971
_cell_angle_alpha 90.00
_cell_angle_beta 90.00
_cell_angle_gamma 90.00
loop_
_atom_site_label
_atom_site_type_symbol
_atom_site_fract_x
_atom_site_fract_y
_atom_site_fract_z
Ba1 Ba 0.000 0.000 0.000
P1 P 0.500 0.500 0.000
Se1 Se 0.000 0.500 0.500

***

15.
# La2PuAg, optimized geometry, DFT GGA-PBE
# ΔH_f (0 K): 133 meV/atom
# energy above the lowest structure with this stoichiometry: 0.60 eV/f.u.
data_La2PuAg
_chemical_formula_sum 'La8 Pu4 Ag4'
_space_group_name_H-M_alt 'F m -3 m'
_space_group_IT_number 225
_space_group_name_Hall '-F 4 2 3'
_cell_length_a 7.745
_cell_length_b 7.745
_cell_length_c 7.745
_cell_angle_alpha 90.00
_cell_angle_beta 90.00
_cell_angle_gamma 90.00
loop_
_atom_site_label
_atom_site_type_symbol
_atom_site_fract_x
_atom_site_fract_y
_atom_site_fract_z
La1 La 0.250 0.250 0.250
Pu1 Pu 0.000 0.000 0.000
Ag1 Ag 0.000 0.000 0.500

***

16.
# CsAg2MoC, optimized geometry, DFT GGA-PBE
# ΔH_f (0 K): 1875 meV/atom
data_CsAg2MoC
_chemical_formula_sum 'Cs1 Ag2 Mo1 C1'
_space_group_name_H-M_alt 'P 4/m m m'
_space_group_IT_number 123
_space_group_name_Hall '-P 4 2'
_cell_length_a 4.453
_cell_length_b 4.453
_cell_length_c 5.832
_cell_angle_alpha 90.00
_cell_angle_beta 90.00
_cell_angle_gamma 90.00
loop_
_atom_site_label
_atom_site_type_symbol
_atom_site_fract_x
_atom_site_fract_y
_atom_site_fract_z
Cs1 Cs 0.000 0.000 0.000
Ag1 Ag 0.000 0.500 0.500
Mo1 Mo 0.500 0.500 0.000
C1 C 0.000 0.000 0.500

***

17.
# HfMg2CdF, optimized geometry, DFT GGA-PBE
# raw formation energy: 0.7616 eV/atom
data_HfMg2CdF
_chemical_formula_sum 'Hf1 Mg2 Cd1 F1'
_space_group_name_H-M_alt 'P 4/m m m'
_space_group_IT_number 123
_space_group_name_Hall '-P 4 2'
_cell_length_a 5.941
_cell_length_b 5.941
_cell_length_c 5.608
_cell_angle_alpha 90.00
_cell_angle_beta 90.00
_cell_angle_gamma 90.00
loop_
_atom_site_label
_atom_site_type_symbol
_atom_site_fract_x
_atom_site_fract_y
_atom_site_fract_z
Hf1 Hf 0.000 0.000 0.000
Mg1 Mg 0.000 0.500 0.000
Cd1 Cd 0.000 0.000 0.500
F1 F 0.500 0.500 0.500

***

18.
# Mg3Pt7, optimized geometry, DFT GGA-PBE
# ΔH_f (0 K): -649 meV/atom
data_Mg3Pt7
_chemical_formula_sum 'Mg6 Pt14'
_space_group_name_H-M_alt 'C 1 2/m 1'
_space_group_IT_number 12
_space_group_name_Hall '-C 2y'
_cell_length_a 14.405
_cell_length_b 3.988
_cell_length_c 5.593
_cell_angle_alpha 90.00
_cell_angle_beta 102.86
_cell_angle_gamma 90.00
loop_
_atom_site_label
_atom_site_type_symbol
_atom_site_fract_x
_atom_site_fract_y
_atom_site_fract_z
Mg1 Mg 0.000 0.000 0.000
Mg2 Mg 0.194 0.000 0.607
Pt1 Pt 0.000 0.000 0.500
Pt2 Pt 0.100 0.500 0.803
Pt3 Pt 0.103 0.500 0.302
Pt4 Pt 0.202 0.000 0.106

***

19.
# FeCo2, optimized geometry, DFT GGA-PBE
# ΔH_f (0 K): 18 meV/atom
data_FeCo2
_chemical_formula_sum 'Fe8 Co16'
_space_group_name_H-M_alt 'I 41/a m d'
_space_group_IT_number 141
_cell_length_a 3.536
_cell_length_b 3.536
_cell_length_c 21.513
_cell_angle_alpha 90.00
_cell_angle_beta 90.00
_cell_angle_gamma 90.00
loop_
_space_group_symop_operation_xyz
'x,y,z'
'-x,-y,-z'
'-y+1/4,x+3/4,z+1/4'
'y+1/4,-x+3/4,-z+1/4'
'-x+1/2,-y,z+1/2'
'x+1/2,y,-z+1/2'
'y+1/4,-x+1/4,z+3/4'
'-y+1/4,x+1/4,-z+3/4'
'x,-y,-z'
'-x,y,z'
'-y+1/4,-x+1/4,-z+3/4'
'y+1/4,x+1/4,z+3/4'
'-x+1/2,y,-z+1/2'
'x+1/2,-y,z+1/2'
'y+1/4,x+3/4,-z+1/4'
'-y+1/4,-x+3/4,z+1/4'
'x+1/2,y+1/2,z+1/2'
'-x+1/2,-y+1/2,-z+1/2'
'-y+3/4,x+1/4,z+3/4'
'y+3/4,-x+1/4,-z+3/4'
'-x,-y+1/2,z'
'x,y+1/2,-z'
'y+3/4,-x+3/4,z+1/4'
'-y+3/4,x+3/4,-z+1/4'
'x+1/2,-y+1/2,-z+1/2'
'-x+1/2,y+1/2,z+1/2'
'-y+3/4,-x+3/4,-z+1/4'
'y+3/4,x+3/4,z+1/4'
'-x,y+1/2,-z'
'x,-y+1/2,z'
'y+3/4,x+1/4,-z+3/4'
'-y+3/4,-x+1/4,z+3/4'
loop_
_atom_site_label
_atom_site_type_symbol
_atom_site_fract_x
_atom_site_fract_y
_atom_site_fract_z
Fe1 Fe 0.000 0.250 0.294
Co1 Co 0.000 0.250 0.125
Co2 Co 0.000 0.250 0.793

***

20.
# TiMn3V, optimized geometry, DFT GGA-PBE
# ΔH_f (0 K): 1106 meV/atom
# energy above the lowest structure with this stoichiometry: 1.56 eV/f.u.
data_TiMn3V
_chemical_formula_sum 'Ti1 Mn3 V1'
_space_group_name_H-M_alt 'P m -3 m'
_space_group_IT_number 221
_space_group_name_Hall '-P 4 2 3'
_cell_length_a 4.387
_cell_length_b 4.387
_cell_length_c 4.387
_cell_angle_alpha 90.00
_cell_angle_beta 90.00
_cell_angle_gamma 90.00
loop_
_atom_site_label
_atom_site_type_symbol
_atom_site_fract_x
_atom_site_fract_y
_atom_site_fract_z
Ti1 Ti 0.000 0.000 0.000
Mn1 Mn 0.000 0.000 0.500
V1 V 0.500 0.500 0.500

***

21.
# Ba3EuS, optimized geometry, DFT GGA-PBE
# raw formation energy: -0.7048 eV/atom
data_Ba3EuS
_chemical_formula_sum 'Ba3 Eu1 S1'
_space_group_name_H-M_alt 'P m -3 m'
_space_group_IT_number 221
_space_group_name_Hall '-P 4 2 3'
_cell_length_a 6.320
_cell_length_b 6.320
_cell_length_c 6.320
_cell_angle_alpha 90.00
_cell_angle_beta 90.00
_cell_angle_gamma 90.00
loop_
_atom_site_label
_atom_site_type_symbol
_atom_site_fract_x
_atom_site_fract_y
_atom_site_fract_z
Ba1 Ba 0.000 0.000 0.500
Eu1 Eu 0.500 0.500 0.500
S1 S 0.000 0.000 0.000

***

22.
# TaFeNi5, optimized geometry, DFT GGA-PBE
# ΔH_f (0 K): -49 meV/atom
data_TaFeNi5
_chemical_formula_sum 'Ta1 Fe1 Ni5'
_space_group_name_H-M_alt 'P 4/m m m'
_space_group_IT_number 123
_space_group_name_Hall '-P 4 2'
_cell_length_a 3.650
_cell_length_b 3.650
_cell_length_c 6.703
_cell_angle_alpha 90.00
_cell_angle_beta 90.00
_cell_angle_gamma 90.00
loop_
_atom_site_label
_atom_site_type_symbol
_atom_site_fract_x
_atom_site_fract_y
_atom_site_fract_z
Ta1 Ta 0.000 0.000 0.000
Fe1 Fe 0.500 0.500 0.500
Ni1 Ni 0.000 0.500 0.273
Ni2 Ni 0.500 0.500 0.000

***

23.
# Ce2H2SeCl

Ce2H2SeCl after structural relaxation (GGA-PBE, Alexandria via LeMat-Bulk).

```
data_Ce2H2SeCl
_chemical_formula_sum 'Ce2 H2 Se1 Cl1'
_space_group_name_H-M_alt 'P -3 m 1'
_space_group_IT_number 164
_space_group_name_Hall '-P 3 2"'
_cell_length_a 3.9927
_cell_length_b 3.9927
_cell_length_c 7.9799
_cell_angle_alpha 90.00
_cell_angle_beta 90.00
_cell_angle_gamma 120.00
loop_
_atom_site_label
_atom_site_type_symbol
_atom_site_fract_x
_atom_site_fract_y
_atom_site_fract_z
Ce1 Ce 0.3333 0.6667 0.2395
H1 H 0.3333 0.6667 0.7351
Se1 Se 0.0000 0.0000 0.0000
Cl1 Cl 0.0000 0.0000 0.5000
```

***

24.
# MgFe2Ru, optimized geometry, DFT GGA-PBE
# ΔH_f (0 K): 189 meV/atom
data_MgFe2Ru
_chemical_formula_sum 'Mg1 Fe2 Ru1'
_space_group_name_H-M_alt 'P 1 m 1'
_space_group_IT_number 6
_space_group_name_Hall 'P -2y'
_cell_length_a 2.615
_cell_length_b 4.203
_cell_length_c 5.069
_cell_angle_alpha 90.00
_cell_angle_beta 100.07
_cell_angle_gamma 90.00
loop_
_atom_site_label
_atom_site_type_symbol
_atom_site_fract_x
_atom_site_fract_y
_atom_site_fract_z
Mg1 Mg 0.000 0.000 0.000
Fe1 Fe 0.267 0.500 0.742
Fe2 Fe 0.471 0.000 0.508
Ru1 Ru 0.707 0.500 0.269

***

Raw total energy (eV/atom)
-2.315, -2.071, -6.896, -5.814, -5.602, -2.061, -4.110, -5.738, -5.716, -2.895, -6.510, -4.337, -3.952, -3.965, -6.626, -3.447, -2.424, -5.356, -7.541, -7.798, -4.739, -7.081, -5.261, -6.760